Be3InHg | SCAN | single point on PBEsol structure

The structure in CIF format:
```
data_Be3InHg
_chemical_formula_sum 'Be3 In1 Hg1'
_symmetry_space_group_name_H-M 'P m -3 m'
_symmetry_Int_Tables_number 221
_symmetry_space_group_name_Hall '-P 4 2 3'
_cell_length_a 4.4935
_cell_length_b 4.4935
_cell_length_c 4.4935
_cell_angle_alpha 90.00
_cell_angle_beta 90.00
_cell_angle_gamma 90.00
loop_
_atom_site_label
_atom_site_type_symbol
_atom_site_fract_x
_atom_site_fract_y
_atom_site_fract_z
Be1 Be 0.0000 0.0000 0.5000
In1 In 0.5000 0.5000 0.5000
Hg1 Hg 0.0000 0.0000 0.0000
```

Output
* density of states at the Fermi level: 0.9 states/eV/cell
* volume: 90.7 Å³ per cell
* energy relative to the elements: 0.70 eV per atom